# Ba3TiFe2O9

Crystalline Ba3TiFe2O9 at its relaxed geometry (PBE+U, Alexandria).

The volume is 407.60 Å³/cell. The value obtained for the energy above the most stable polymorph in this dataset is 4 meV/atom.

The structure belongs to space group P-3m1 (No. 164); the cell edges are 5.7734, 5.7734 and 14.1204 Å and the angles 90.00°, 90.00° and 120.00°. The distinct sites, in fractional coordinates, are Ba at (0.0000, 0.0000, 0.2457), Ba at (0.3333, 0.6667, 0.5949), Ba at (0.3333, 0.6667, 0.9110), Ti at (0.3333, 0.6667, 0.3508), Fe at (0.0000, 0.0000, 0.0000), Fe at (0.0000, 0.0000, 0.5000), Fe at (0.3333, 0.6667, 0.1563), O at (0.0376, 0.5188, 0.2452), O at (0.1687, 0.3375, 0.0810) and O at (0.1686, 0.3373, 0.4166).